Density functional theory data (GGA-PBE) for CuMo2Pd after structural relaxation.

## Properties
* uncorrected energy: -7.061 eV per atom
* DFT formation energy: 65 kJ/mol of atoms
* relative energy among the computed polymorphs: 167 meV per atom

a b c (Å): 7.0801 7.0801 5.0768
angles (deg): 90.00 90.00 90.00
Space group I-42d (No. 122)
Unique sites:
Cu (0.0000, 0.0000, 0.0000) (multiplicity 4)
Mo (0.2442, 0.7500, 0.1250) (multiplicity 8)
Pd (0.0000, 0.0000, 0.5000) (multiplicity 4)